# NiH2F

A relaxed NiH2F crystal (GGA+U, Alexandria).

Summary:
**Calculated density**: 4.46 g/cm3
**Crystal system**: tetragonal
**E above lowest polymorph**: 0.000 eV per atom
**Space group**: I-42d (122)

```
data_NiH2F
_chemical_formula_sum 'Ni4 H8 F4'
_cell_length_a 4.0520
_cell_length_b 4.0520
_cell_length_c 7.2283
_cell_angle_alpha 90.00
_cell_angle_beta 90.00
_cell_angle_gamma 90.00
_symmetry_space_group_name_H-M 'P 1'
_symmetry_Int_Tables_number 1
_symmetry_space_group_name_Hall 'P 1'
loop_
_atom_site_label
_atom_site_type_symbol
_atom_site_fract_x
_atom_site_fract_y
_atom_site_fract_z
Ni1 Ni 0.0000 0.0000 0.0000
Ni2 Ni 0.0000 0.5000 0.2500
Ni3 Ni 0.5000 0.0000 0.7500
Ni4 Ni 0.5000 0.5000 0.5000
H1 H 0.1841 0.2500 0.1250
H2 H 0.2500 0.6841 0.3750
H3 H 0.2500 0.8159 0.8750
H4 H 0.3159 0.2500 0.6250
H5 H 0.6841 0.7500 0.6250
H6 H 0.7500 0.1841 0.8750
H7 H 0.7500 0.3159 0.3750
H8 H 0.8159 0.7500 0.1250
F1 F 0.0000 0.0000 0.5000
F2 F 0.0000 0.5000 0.7500
F3 F 0.5000 0.0000 0.2500
F4 F 0.5000 0.5000 0.0000
```